(1)
DFT (PBE) results for Sr2IrPt after structural relaxation.

The structure in CIF format:
```
data_Sr2IrPt
_symmetry_space_group_name_H-M 'C m m m'
_symmetry_Int_Tables_number 65
_symmetry_space_group_name_Hall '-C 2 2'
_cell_length_a 6.630
_cell_length_b 7.828
_cell_length_c 3.687
_cell_angle_alpha 90.00
_cell_angle_beta 90.00
_cell_angle_gamma 90.00
loop_
_atom_site_label
_atom_site_type_symbol
_atom_site_fract_x
_atom_site_fract_y
_atom_site_fract_z
_atom_site_occupancy
Sr1 Sr 0.250 0.250 0.000 1
Ir1 Ir 0.000 0.000 0.500 1
Pt1 Pt 0.000 0.500 0.500 1
```

DOS(E_F) ... 0.4223 states/eV per atom
ΔH_f (0 K) ... -0.226 eV per atom

(2)
DFT (PBE) results for KCa2Ge after structural relaxation.

The structure in CIF format:
```
data_KCa2Ge
_symmetry_space_group_name_H-M 'I -4 2 d'
_symmetry_Int_Tables_number 122
_symmetry_space_group_name_Hall 'I -4 2bw'
_cell_length_a 8.649
_cell_length_b 8.649
_cell_length_c 13.672
_cell_angle_alpha 90.00
_cell_angle_beta 90.00
_cell_angle_gamma 90.00
loop_
_atom_site_label
_atom_site_type_symbol
_atom_site_fract_x
_atom_site_fract_y
_atom_site_fract_z
_atom_site_occupancy
K1 K 0.000 0.000 0.000 1
Ca1 Ca 0.002 0.250 0.625 1
Ge1 Ge 0.000 0.000 0.500 1
```

Excess energy over the best structure of this formula in the dataset ... 162 meV/atom
DOS(E_F) ... 0.2735 states/eV per atom
ΔH_f (0 K) ... 0.106 eV per atom

(3)
DFT (PBE) results for Tb3Pm3Nd after structural relaxation.

The structure in CIF format:
```
data_Tb3Pm3Nd
_symmetry_space_group_name_H-M 'R -3'
_symmetry_Int_Tables_number 148
_symmetry_space_group_name_Hall '-R 3'
_cell_length_a 8.7488
_cell_length_b 8.7488
_cell_length_c 22.1294
_cell_angle_alpha 90.00
_cell_angle_beta 90.00
_cell_angle_gamma 120.00
loop_
_atom_site_label
_atom_site_type_symbol
_atom_site_fract_x
_atom_site_fract_y
_atom_site_fract_z
_atom_site_occupancy
Tb1 Tb 0.0040 0.2323 0.0587 1
Pm1 Pm 0.0499 0.4480 0.8809 1
Nd1 Nd 0.0000 0.0000 0.3462 1
```

Excess energy over the best structure of this formula in the dataset ... 0 meV/atom
DOS(E_F) ... 1.5218 states/eV per atom
ΔH_f (0 K) ... 0.204 eV per atom

(4)
DFT (PBE) results for KRb2InCl4 after structural relaxation.

The structure in CIF format:
```
data_KRb2InCl4
_symmetry_space_group_name_H-M 'P 1 2/m 1'
_symmetry_Int_Tables_number 10
_cell_length_a 8.016
_cell_length_b 4.648
_cell_length_c 8.041
_cell_angle_alpha 90.00
_cell_angle_beta 109.50
_cell_angle_gamma 90.00
loop_
_symmetry_equiv_pos_as_xyz
'x,y,z'
'-x,-y,-z'
'-x,y,-z'
'x,-y,z'
loop_
_atom_site_label
_atom_site_type_symbol
_atom_site_fract_x
_atom_site_fract_y
_atom_site_fract_z
_atom_site_occupancy
K1 K 0.000 0.000 0.000 1
Rb1 Rb 0.500 0.000 0.500 1
Rb2 Rb 0.500 0.500 0.000 1
In1 In 0.000 0.500 0.500 1
Cl1 Cl 0.239 0.500 0.244 1
Cl2 Cl 0.241 0.000 0.750 1
```

E_form (uncorrected) ... -1659 meV per atom
DOS(E_F) ... 0.0000 states/eV per atom

(5)
DFT (PBE) results for MgBeAu2 after structural relaxation.

The structure in CIF format:
```
data_MgBeAu2
_symmetry_space_group_name_H-M 'F m -3 m'
_symmetry_Int_Tables_number 225
_symmetry_space_group_name_Hall '-F 4 2 3'
_cell_length_a 6.282
_cell_length_b 6.282
_cell_length_c 6.282
_cell_angle_alpha 90.00
_cell_angle_beta 90.00
_cell_angle_gamma 90.00
loop_
_atom_site_label
_atom_site_type_symbol
_atom_site_fract_x
_atom_site_fract_y
_atom_site_fract_z
_atom_site_occupancy
Mg1 Mg 0.000 0.000 0.000 1
Be1 Be 0.000 0.000 0.500 1
Au1 Au 0.250 0.250 0.250 1
```

Excess energy over the best structure of this formula in the dataset ... 70 meV/atom
DOS(E_F) ... 0.2634 states/eV per atom
ΔH_f (0 K) ... -0.272 eV per atom

(6)
DFT (PBE) results for BeHgS2 after structural relaxation.

The structure in CIF format:
```
data_BeHgS2
_symmetry_space_group_name_H-M 'C 1 2/c 1'
_symmetry_Int_Tables_number 15
_cell_length_a 9.645
_cell_length_b 10.865
_cell_length_c 12.827
_cell_angle_alpha 90.00
_cell_angle_beta 99.97
_cell_angle_gamma 90.00
loop_
_symmetry_equiv_pos_as_xyz
'x,y,z'
'-x,-y,-z'
'-x,y,-z+1/2'
'x,-y,z+1/2'
'x+1/2,y+1/2,z'
'-x+1/2,-y+1/2,-z'
'-x+1/2,y+1/2,-z+1/2'
'x+1/2,-y+1/2,z+1/2'
loop_
_atom_site_label
_atom_site_type_symbol
_atom_site_fract_x
_atom_site_fract_y
_atom_site_fract_z
_atom_site_occupancy
Be1 Be 0.116 0.190 0.153 1
Be2 Be 0.169 0.403 0.347 1
Hg1 Hg 0.036 0.367 0.602 1
Hg2 Hg 0.152 0.053 0.881 1
S1 S 0.000 0.088 0.250 1
S2 S 0.000 0.500 0.250 1
S3 S 0.065 0.278 0.437 1
S4 S 0.222 0.057 0.072 1
S5 S 0.229 0.205 0.751 1
```

E_form (uncorrected) ... -478 meV per atom
Excess energy over the best structure of this formula in the dataset ... 80 meV/atom
DOS(E_F) ... 0.0000 states/eV per atom

(7)
DFT (PBE) results for PmHoEr2 after structural relaxation.

The structure in CIF format:
```
data_PmHoEr2
_symmetry_space_group_name_H-M 'R -3 m'
_symmetry_Int_Tables_number 166
_symmetry_space_group_name_Hall '-R 3 2"'
_cell_length_a 3.5482
_cell_length_b 3.5482
_cell_length_c 34.6068
_cell_angle_alpha 90.00
_cell_angle_beta 90.00
_cell_angle_gamma 120.00
loop_
_atom_site_label
_atom_site_type_symbol
_atom_site_fract_x
_atom_site_fract_y
_atom_site_fract_z
_atom_site_occupancy
Pm1 Pm 0.0000 0.0000 0.0000 1
Ho1 Ho 0.0000 0.0000 0.5000 1
Er1 Er 0.0000 0.0000 0.2489 1
```

Excess energy over the best structure of this formula in the dataset ... 3 meV/atom
DOS(E_F) ... 1.3677 states/eV per atom
ΔH_f (0 K) ... 0.021 eV per atom

(8)
DFT (PBE) results for CoPd2Pt9 after structural relaxation.

The structure in CIF format:
```
data_CoPd2Pt9
_symmetry_space_group_name_H-M 'P 4/m m m'
_symmetry_Int_Tables_number 123
_symmetry_space_group_name_Hall '-P 4 2'
_cell_length_a 3.929
_cell_length_b 3.929
_cell_length_c 11.865
_cell_angle_alpha 90.00
_cell_angle_beta 90.00
_cell_angle_gamma 90.00
loop_
_atom_site_label
_atom_site_type_symbol
_atom_site_fract_x
_atom_site_fract_y
_atom_site_fract_z
_atom_site_occupancy
Co1 Co 0.000 0.000 0.000 1
Pd1 Pd 0.000 0.000 0.330 1
Pt1 Pt 0.000 0.500 0.160 1
Pt2 Pt 0.000 0.500 0.500 1
Pt3 Pt 0.500 0.500 0.000 1
Pt4 Pt 0.500 0.500 0.330 1
```

DOS(E_F) ... 1.7352 states/eV per atom
ΔH_f (0 K) ... -0.051 eV per atom

(9)
DFT (PBE) results for ScCd2Fe after structural relaxation.

The structure in CIF format:
```
data_ScCd2Fe
_symmetry_space_group_name_H-M 'F -4 3 m'
_symmetry_Int_Tables_number 216
_symmetry_space_group_name_Hall 'F -4 2 3'
_cell_length_a 6.706
_cell_length_b 6.706
_cell_length_c 6.706
_cell_angle_alpha 90.00
_cell_angle_beta 90.00
_cell_angle_gamma 90.00
loop_
_atom_site_label
_atom_site_type_symbol
_atom_site_fract_x
_atom_site_fract_y
_atom_site_fract_z
_atom_site_occupancy
Sc1 Sc 0.000 0.000 0.000 1
Cd1 Cd 0.000 0.000 0.500 1
Cd2 Cd 0.250 0.250 0.750 1
Fe1 Fe 0.250 0.250 0.250 1
```

DOS(E_F) ... 2.2014 states/eV per atom
ΔH_f (0 K) ... 0.111 eV per atom

(10)
DFT (PBE) results for Tl3Co2AgCl9 after structural relaxation.

The structure in CIF format:
```
data_Tl3Co2AgCl9
_symmetry_space_group_name_H-M 'P -3 m 1'
_symmetry_Int_Tables_number 164
_symmetry_space_group_name_Hall '-P 3 2"'
_cell_length_a 6.9837
_cell_length_b 6.9837
_cell_length_c 8.6304
_cell_angle_alpha 90.00
_cell_angle_beta 90.00
_cell_angle_gamma 120.00
loop_
_atom_site_label
_atom_site_type_symbol
_atom_site_fract_x
_atom_site_fract_y
_atom_site_fract_z
_atom_site_occupancy
Tl1 Tl 0.0000 0.0000 0.0000 1
Tl2 Tl 0.3333 0.6667 0.6645 1
Co1 Co 0.3333 0.6667 0.1603 1
Ag1 Ag 0.0000 0.0000 0.5000 1
Cl1 Cl 0.0000 0.5000 0.0000 1
Cl2 Cl 0.1750 0.3501 0.3172 1
```

E_form (uncorrected) ... -679 meV per atom
DOS(E_F) ... 1.1831 states/eV per atom

(11)
DFT (PBE) results for Sr2TaSb after structural relaxation.

The structure in CIF format:
```
data_Sr2TaSb
_symmetry_space_group_name_H-M 'C m m m'
_symmetry_Int_Tables_number 65
_symmetry_space_group_name_Hall '-C 2 2'
_cell_length_a 6.748
_cell_length_b 10.214
_cell_length_c 3.329
_cell_angle_alpha 90.00
_cell_angle_beta 90.00
_cell_angle_gamma 90.00
loop_
_atom_site_label
_atom_site_type_symbol
_atom_site_fract_x
_atom_site_fract_y
_atom_site_fract_z
_atom_site_occupancy
Sr1 Sr 0.250 0.250 0.000 1
Ta1 Ta 0.000 0.000 0.500 1
Sb1 Sb 0.000 0.500 0.500 1
```

E_form (uncorrected) ... 394 meV per atom
DOS(E_F) ... 1.1081 states/eV per atom

(12)
DFT (PBE) results for PmDyZnPt after structural relaxation.

The structure in CIF format:
```
data_PmDyZnPt
_symmetry_space_group_name_H-M 'F -4 3 m'
_symmetry_Int_Tables_number 216
_symmetry_space_group_name_Hall 'F -4 2 3'
_cell_length_a 7.144
_cell_length_b 7.144
_cell_length_c 7.144
_cell_angle_alpha 90.00
_cell_angle_beta 90.00
_cell_angle_gamma 90.00
loop_
_atom_site_label
_atom_site_type_symbol
_atom_site_fract_x
_atom_site_fract_y
_atom_site_fract_z
_atom_site_occupancy
Pm1 Pm 0.000 0.000 0.000 1
Dy1 Dy 0.000 0.000 0.500 1
Zn1 Zn 0.250 0.250 0.250 1
Pt1 Pt 0.250 0.250 0.750 1
```

Excess energy over the best structure of this formula in the dataset ... 40 meV/atom
DOS(E_F) ... 0.6935 states/eV per atom
ΔH_f (0 K) ... -0.737 eV per atom

Calculated values (eV/cell) of calculated total energy for the records, taken in order: -38.34 -37.17 -188.91 -26.43 -51.86 -227.09 -55.11 -72.48 -64.72 -50.96 -35.53 -78.47.